A plane-wave DFT calculation with GGA-PBE was carried out for an optimized crystal structure of Pr4Y4Ho.

Cell: 8.123 8.123 8.123 Å, 95.74 95.74 143.14°
Atoms (fractional coordinates):
Pr1 0.000 0.331 0.331
Pr2 0.000 0.669 0.669
Pr3 0.331 0.000 0.331
Pr4 0.669 0.000 0.669
Y1 0.335 0.335 0.669
Y2 0.335 0.665 0.000
Y3 0.665 0.335 0.000
Y4 0.665 0.665 0.331
Ho1 0.000 0.000 0.000

Summary:
SG: I4/mmm
DOS(E_F): 14.5 states/eV/cell
Energy relative to the lowest polymorph listed for this composition: 0.004 eV per atom
Energy of formation: 21 meV/atom